# 1
Compound: MnHOs
Source: Alexandria via LeMat-Bulk
Functional: PBE-GGA
Structure: relaxed

## Properties
For the final energy, the calculation gives -7.801 eV per atom. The value obtained for the energy above the most stable polymorph in this dataset is 0.20 eV/f.u.

Lattice parameters (Å, degrees): 2.7269 2.7269 4.3490 90.00 90.00 120.00
With the nearest neighbours (Å) after each atom.
Sites, in units of the cell vectors:
H1 0.6667 0.3333 0.2282  3 Mn 1.67, 1 Os 1.77
Mn1 0.0000 0.0000 0.3586  3 H 1.67
Os1 0.6667 0.3333 0.8215  1 H 1.77



# 2
Compound: MnH3Os
Source: Alexandria via LeMat-Bulk
Functional: PBE-GGA
Structure: relaxed

## Properties
For the final energy, the calculation gives -5.764 eV per atom.

Lattice parameters (Å, degrees): 3.4873 3.4873 3.4873 90.00 90.00 90.00
With the nearest neighbours (Å) after each atom.
Sites, in units of the cell vectors:
H1 0.0000 0.0000 0.5000  2 Os 1.74
H2 0.5000 0.0000 0.0000  2 Os 1.74
H3 0.0000 0.5000 0.0000  2 Os 1.74
Os1 0.0000 0.0000 0.0000  6 H 1.74
Mn1 0.5000 0.5000 0.5000  12 H 2.47



# 3
Compound: MnHOs2
Source: Alexandria via LeMat-Bulk
Functional: PBE-GGA
Structure: relaxed

## Properties
For the final energy, the calculation gives -8.060 eV per atom. The value obtained for the energy above the most stable polymorph in this dataset is 1.05 eV/f.u.

Lattice parameters (Å, degrees): 4.0271 4.0271 4.0271 60.00 60.00 60.00
With the nearest neighbours (Å) after each atom.
Sites, in units of the cell vectors:
Mn1 0.5000 0.5000 0.5000  8 Os 2.47
H1 0.0000 0.0000 0.0000  8 Os 2.47
Os1 0.2500 0.2500 0.2500  4 H 2.47, 4 Mn 2.47
Os2 0.7500 0.7500 0.7500  4 H 2.47, 4 Mn 2.47



# 4
Compound: MnHOs
Source: Alexandria via LeMat-Bulk
Functional: PBE-GGA
Structure: relaxed

## Properties
For the final energy, the calculation gives -7.783 eV per atom. The value obtained for the energy above the most stable polymorph in this dataset is 0.25 eV/f.u.

Lattice parameters (Å, degrees): 2.6995 2.6995 13.2063 90.00 90.00 120.00
With the nearest neighbours (Å) after each atom.
Sites, in units of the cell vectors:
Os1 0.6667 0.3333 0.0599  3 H 2.16
Os2 0.3333 0.6667 0.3933  3 H 2.16
Os3 0.0000 0.0000 0.7266  3 H 2.16
Mn1 0.3333 0.6667 0.9063  3 H 1.79
Mn2 0.6667 0.3333 0.5729  3 H 1.79
Mn3 0.0000 0.0000 0.2396  3 H 1.79
H1 0.0000 0.0000 0.5068  3 Mn 1.79
H2 0.3333 0.6667 0.1735  3 Mn 1.79
H3 0.6667 0.3333 0.8401  3 Mn 1.79



# 5
Compound: MnHOs
Source: Alexandria via LeMat-Bulk
Functional: PBE-GGA
Structure: relaxed

## Properties
For the final energy, the calculation gives -7.867 eV per atom. The value obtained for the energy above the most stable polymorph in this dataset is 0.00 eV/f.u.

Lattice parameters (Å, degrees): 2.7252 2.7252 4.2220 90.00 90.00 120.00
With the nearest neighbours (Å) after each atom.
Sites, in units of the cell vectors:
Mn1 0.6667 0.3333 0.1261  3 H 1.76
Os1 0.0000 0.0000 0.6454  3 H 2.11
H1 0.3333 0.6667 0.3134  3 Mn 1.76



# 6
Compound: Mn2H2Os
Source: Alexandria via LeMat-Bulk
Functional: PBE-GGA
Structure: relaxed

## Properties
For the final energy, the calculation gives -6.986 eV per atom. The value obtained for the energy above the most stable polymorph in this dataset is 1.23 eV/f.u.

Lattice parameters (Å, degrees): 5.6485 5.6485 2.6777 90.00 90.00 90.00
With the nearest neighbours (Å) after each atom.
Sites, in units of the cell vectors:
H1 0.7109 0.2109 0.0000  2 Mn 1.87, 2 Os 2.02
H2 0.2891 0.7891 0.0000  2 Mn 1.87, 2 Os 2.02
H3 0.7891 0.7109 0.0000  2 Mn 1.87, 2 Os 2.02
H4 0.2109 0.2891 0.0000  2 Mn 1.87, 2 Os 2.02
Mn1 0.8737 0.3737 0.5000  2 H 1.87, 1 Mn 2.02
Mn2 0.3737 0.1263 0.5000  2 H 1.87, 1 Mn 2.02
Mn3 0.6263 0.8737 0.5000  2 H 1.87, 1 Mn 2.02
Mn4 0.1263 0.6263 0.5000  2 H 1.87, 1 Mn 2.02
Os1 0.5000 0.5000 0.0000  4 H 2.02
Os2 0.0000 0.0000 0.0000  4 H 2.02



# 7
Compound: Mn4HOs
Source: Alexandria via LeMat-Bulk
Functional: PBE-GGA
Structure: relaxed

## Properties
For the final energy, the calculation gives -8.575 eV per atom.

Lattice parameters (Å, degrees): 4.8639 4.4737 6.0758 111.69 76.30 90.14
With the nearest neighbours (Å) after each atom.
Sites, in units of the cell vectors:
Mn1 0.9584 0.4863 0.8081  1 H 1.86
Mn2 0.7576 0.0868 0.0001  2 H 1.83
Mn3 0.6473 0.7137 0.5956  1 H 1.85
Mn4 0.0416 0.5137 0.1919  1 H 1.86
Mn5 0.5588 0.6811 0.2040  2 H 1.83-1.84
Mn6 0.4412 0.3189 0.7960  2 H 1.83-1.84
Mn7 0.2424 0.9132 0.9999  2 H 1.83
Mn8 0.3527 0.2863 0.4044  1 H 1.85
H1 0.5992 0.7029 0.9033  6 Mn 1.83-1.86
H2 0.4008 0.2971 0.0967  6 Mn 1.83-1.86
Os1 0.1557 0.8803 0.6021  11 Mn 2.49-2.62, 1 Os 2.62
Os2 0.8443 0.1197 0.3979  11 Mn 2.49-2.62, 1 Os 2.62



# 8
Compound: MnHOs
Source: Alexandria via LeMat-Bulk
Functional: PBE-GGA
Structure: relaxed

## Properties
For the final energy, the calculation gives -7.801 eV per atom. The value obtained for the energy above the most stable polymorph in this dataset is 0.20 eV/f.u.

Lattice parameters (Å, degrees): 2.7047 2.7047 13.6972 90.00 90.00 120.00
With the nearest neighbours (Å) after each atom.
Sites, in units of the cell vectors:
Mn1 0.6667 0.3333 0.9034  3 H 1.73
Mn2 0.3333 0.6667 0.2367  3 H 1.73
Mn3 0.0000 0.0000 0.5700  3 H 1.73
H1 0.3333 0.6667 0.8484  3 Mn 1.73, 1 Os 1.83
H2 0.6667 0.3333 0.5151  3 Mn 1.73, 1 Os 1.83
H3 0.0000 0.0000 0.1817  3 Mn 1.73, 1 Os 1.83
Os1 0.0000 0.0000 0.0484  1 H 1.83
Os2 0.3333 0.6667 0.7151  1 H 1.83
Os3 0.6667 0.3333 0.3818  1 H 1.83



# 9
Compound: MnHOs
Source: Alexandria via LeMat-Bulk
Functional: PBE-GGA
Structure: relaxed

## Properties
For the final energy, the calculation gives -7.819 eV per atom. The value obtained for the energy above the most stable polymorph in this dataset is 0.14 eV/f.u.

Lattice parameters (Å, degrees): 2.6673 2.6673 3.8301 90.00 90.00 90.00
With the nearest neighbours (Å) after each atom.
Sites, in units of the cell vectors:
H1 0.5000 0.5000 0.5260  2 Os 1.87-1.96, 4 Mn 1.89
Mn1 0.0000 0.0000 0.5671  4 H 1.89
Os1 0.5000 0.5000 0.0366  2 H 1.87-1.96



# 10
Compound: Mn2H2Os
Source: Alexandria via LeMat-Bulk
Functional: PBE-GGA
Structure: relaxed

## Properties
For the final energy, the calculation gives -7.232 eV per atom. The value obtained for the energy above the most stable polymorph in this dataset is 0.00 eV/f.u.

Lattice parameters (Å, degrees): 2.7001 2.7001 6.1494 77.32 77.32 90.00
With the nearest neighbours (Å) after each atom.
Sites, in units of the cell vectors:
H1 0.2500 0.7500 0.5000  4 Mn 1.77, 4 H 1.91
H2 0.7500 0.2500 0.5000  4 Mn 1.77, 4 H 1.91
Mn1 0.6523 0.6523 0.6954  4 H 1.77
Mn2 0.3477 0.3477 0.3046  4 H 1.77
Os1 0.0000 0.0000 0.0000  8 Mn 2.61, 4 Os 2.70



# 11
Compound: MnHOs
Source: Alexandria via LeMat-Bulk
Functional: PBE-GGA
Structure: relaxed

## Properties
For the final energy, the calculation gives -7.729 eV per atom. The value obtained for the energy above the most stable polymorph in this dataset is 0.41 eV/f.u.

Lattice parameters (Å, degrees): 2.7047 2.7510 7.8434 90.00 93.94 90.00
With the nearest neighbours (Å) after each atom.
Sites, in units of the cell vectors:
H1 0.0915 0.0000 0.9395  2 Mn 1.90, 2 Os 1.92
H2 0.0915 0.5000 0.4395  2 Mn 1.90, 2 Os 1.92
Os1 0.2156 0.5000 0.1083  2 H 1.92
Os2 0.2156 0.0000 0.6083  2 H 1.92
Mn1 0.7675 0.0000 0.3071  2 H 1.90
Mn2 0.7675 0.5000 0.8071  2 H 1.90



# 12
Compound: MnHOs
Source: Alexandria via LeMat-Bulk
Functional: PBE-GGA
Structure: relaxed

## Properties
For the final energy, the calculation gives -7.735 eV per atom. The value obtained for the energy above the most stable polymorph in this dataset is 0.39 eV/f.u.

Lattice parameters (Å, degrees): 2.7780 4.2478 4.8211 90.00 90.00 90.00
With the nearest neighbours (Å) after each atom.
Sites, in units of the cell vectors:
Os1 0.2500 0.7500 0.0708  1 H 1.74
Os2 0.7500 0.2500 0.9292  1 H 1.74
H1 0.2499 0.7500 0.4326  2 Mn 1.63, 1 Os 1.74
H2 0.7501 0.2500 0.5674  2 Mn 1.63, 1 Os 1.74
Mn1 0.7499 0.7500 0.6113  2 H 1.63
Mn2 0.2501 0.2500 0.3887  2 H 1.63



# 13
Compound: MnHOs2
Source: Alexandria via LeMat-Bulk
Functional: PBE-GGA
Structure: relaxed

## Properties
For the final energy, the calculation gives -8.323 eV per atom. The value obtained for the energy above the most stable polymorph in this dataset is 0.00 eV/f.u.

Lattice parameters (Å, degrees): 5.9405 5.9405 4.8752 52.46 52.46 90.00
With the nearest neighbours (Å) after each atom.
Sites, in units of the cell vectors:
H1 0.2500 0.7500 0.5000  4 Os 1.87
H2 0.5000 0.5000 0.0000  4 Os 1.87
Os1 0.2144 0.6250 0.2500  2 H 1.87
Os2 0.5356 0.1250 0.2500  2 H 1.87
Os3 0.8750 0.7856 0.7500  2 H 1.87
Os4 0.3750 0.4644 0.7500  2 H 1.87
Mn1 0.0000 0.0000 0.0000  2 H 2.47, 8 Os 2.56-2.58
Mn2 0.7500 0.2500 0.5000  2 H 2.47, 8 Os 2.56-2.58



# 14
Compound: MnH2Os
Source: Alexandria via LeMat-Bulk
Functional: PBE-GGA
Structure: relaxed

## Properties
For the final energy, the calculation gives -6.024 eV per atom. The value obtained for the energy above the most stable polymorph in this dataset is 1.72 eV/f.u.

Lattice parameters (Å, degrees): 3.6479 3.6479 3.6479 60.00 60.00 60.00
With the nearest neighbours (Å) after each atom.
Sites, in units of the cell vectors:
Os1 0.5000 0.5000 0.5000  8 H 2.23
Mn1 0.0000 0.0000 0.0000  8 H 2.23
H1 0.7500 0.7500 0.7500  4 Os 2.23, 4 Mn 2.23
H2 0.2500 0.2500 0.2500  4 Os 2.23, 4 Mn 2.23